Density functional theory data (PBE-GGA) for an optimized crystal structure of LaScGe.

Lattice parameters (Å, degrees): 6.2923 7.1284 11.3136 90.00 90.00 90.00
Last column: nearest neighbours and their distance in Å.
Atoms (fractional coordinates):
Sc (0.3884, 0.4734, 0.3548)  3 Ge 2.63-2.75
La (0.6411, 0.0382, 0.3120)  3 Ge 3.05-3.23
Sc (0.3884, 0.4734, 0.6452)  3 Ge 2.63-2.75
Sc (0.8884, 0.5266, 0.8548)  3 Ge 2.63-2.75
La (0.8839, 0.6261, 0.5000)  4 Ge 3.05-3.34
Sc (0.1601, 0.1054, 0.5000)  3 Ge 2.67-2.69
Ge (0.5068, 0.6815, 0.8252)  3 Sc 2.63-2.67
Sc (0.6601, 0.8946, 0.0000)  3 Ge 2.67-2.69
Ge (0.5068, 0.6815, 0.1748)  3 Sc 2.63-2.67
Sc (0.8884, 0.5266, 0.1452)  3 Ge 2.63-2.75
Ge (0.0068, 0.3185, 0.6748)  3 Sc 2.63-2.67
La (0.3839, 0.3739, 0.0000)  4 Ge 3.05-3.34
La (0.1411, 0.9618, 0.1880)  3 Ge 3.05-3.23
Ge (0.3831, 0.7835, 0.5000)  3 Sc 2.69-2.75
La (0.1411, 0.9618, 0.8120)  3 Ge 3.05-3.23
Ge (0.0068, 0.3185, 0.3252)  3 Sc 2.63-2.67
Ge (0.8831, 0.2165, 0.0000)  3 Sc 2.69-2.75
La (0.6411, 0.0382, 0.6880)  3 Ge 3.05-3.23

Computed properties:
Its distance to the lowest polymorph of the same formula is 266.3 meV/atom. The calculation puts the calculated formation energy at -459 meV per atom.

Density functional theory data (PBE-GGA) for an optimized crystal structure of LiTl6Pd12.

Lattice parameters (Å, degrees): 7.2230 7.2230 7.2230 84.09 84.09 84.09
Last column: nearest neighbours and their distance in Å.
Atoms (fractional coordinates):
Pd (0.8494, 0.4508, 0.3412)  5 Pd 2.73-2.95, 4 Tl 2.73-2.90
Pd (0.6588, 0.1506, 0.5492)  5 Pd 2.73-2.95, 4 Tl 2.73-2.90
Tl (0.6031, 0.2538, 0.1822)  6 Pd 2.73-2.90
Tl (0.2538, 0.1822, 0.6031)  6 Pd 2.73-2.90
Tl (0.1822, 0.6031, 0.2538)  6 Pd 2.73-2.90
Pd (0.3412, 0.8494, 0.4508)  5 Pd 2.73-2.95, 4 Tl 2.73-2.90
Pd (0.3302, 0.0155, 0.0943)  1 Li 2.56, 4 Pd 2.68-2.74
Pd (0.1506, 0.5492, 0.6588)  5 Pd 2.73-2.95, 4 Tl 2.73-2.90
Tl (0.8178, 0.3969, 0.7462)  6 Pd 2.73-2.90
Pd (0.0155, 0.0943, 0.3302)  1 Li 2.56, 4 Pd 2.68-2.74
Li (0.0000, 0.0000, 0.0000)  6 Pd 2.56
Pd (0.9057, 0.6698, 0.9845)  1 Li 2.56, 4 Pd 2.68-2.74
Tl (0.7462, 0.8178, 0.3969)  6 Pd 2.73-2.90
Pd (0.5492, 0.6588, 0.1506)  5 Pd 2.73-2.95, 4 Tl 2.73-2.90
Tl (0.3969, 0.7462, 0.8178)  6 Pd 2.73-2.90
Pd (0.6698, 0.9845, 0.9057)  1 Li 2.56, 4 Pd 2.68-2.74
Pd (0.4508, 0.3412, 0.8494)  5 Pd 2.73-2.95, 4 Tl 2.73-2.90
Pd (0.9845, 0.9057, 0.6698)  1 Li 2.56, 4 Pd 2.68-2.74
Pd (0.0943, 0.3302, 0.0155)  1 Li 2.56, 4 Pd 2.68-2.74

Computed properties:
The calculation puts the calculated formation energy at -97 meV per atom.

Density functional theory data (PBE-GGA) for an optimized crystal structure of ZrCdSb.

Lattice parameters (Å, degrees): 4.1360 4.1360 8.3251 90.00 90.00 90.00
Last column: nearest neighbours and their distance in Å.
Atoms (fractional coordinates):
Cd (0.0000, 0.0000, 0.0000)  4 Cd 2.92
Zr (0.5000, 0.0000, 0.3356)  5 Sb 2.89-2.93
Zr (0.0000, 0.5000, 0.6644)  5 Sb 2.89-2.93
Sb (0.5000, 0.0000, 0.6831)  5 Zr 2.89-2.93
Cd (0.5000, 0.5000, 0.0000)  4 Cd 2.92
Sb (0.0000, 0.5000, 0.3169)  5 Zr 2.89-2.93

Computed properties:
Its uncorrected formation energy is -299 meV/atom. Its distance to the lowest polymorph of the same formula is 0.0 meV/atom.

Density functional theory data (PBE-GGA) for an optimized crystal structure of ZrIrPb2.

Lattice parameters (Å, degrees): 8.0345 8.0345 6.4011 51.13 51.13 90.00
Last column: nearest neighbours and their distance in Å.
Atoms (fractional coordinates):
Pb (0.3750, 0.3361, 0.7500)  2 Ir 2.73, 2 Pb 3.01
Pb (0.6639, 0.1250, 0.2500)  2 Ir 2.73, 2 Pb 3.01
Zr (0.5000, 0.5000, 0.0000)  2 Ir 2.95, 4 Pb 3.16
Pb (0.8750, 0.9139, 0.7500)  2 Ir 2.73, 2 Pb 3.01
Ir (0.0000, 0.0000, 0.0000)  4 Pb 2.73, 2 Zr 2.95
Ir (0.7500, 0.2500, 0.5000)  4 Pb 2.73, 2 Zr 2.95
Zr (0.2500, 0.7500, 0.5000)  2 Ir 2.95, 4 Pb 3.16
Pb (0.0861, 0.6250, 0.2500)  2 Ir 2.73, 2 Pb 3.01

Computed properties:
Its distance to the lowest polymorph of the same formula is 293.5 meV/atom. The calculation puts the calculated formation energy at 233 meV per atom.

Density functional theory data (PBE-GGA) for an optimized crystal structure of SrAl2Zn.

Lattice parameters (Å, degrees): 5.7052 5.7052 3.1722 90.00 90.00 114.98
Last column: nearest neighbours and their distance in Å.
Atoms (fractional coordinates):
Zn (0.0000, 0.5000, 0.5000)  2 Sr 3.07, 2 Zn 3.17, 8 Al 3.26
Sr (0.5000, 0.0000, 0.5000)  2 Zn 3.07, 2 Sr 3.17, 8 Al 3.26
Al (0.0000, 0.0000, 0.0000)  4 Al 3.07-3.17, 4 Zn 3.26, 4 Sr 3.26
Al (0.5000, 0.5000, 0.0000)  4 Al 3.07-3.17, 4 Sr 3.26, 4 Zn 3.26

Computed properties:
The calculation puts the calculated formation energy at 197 meV per atom.

Density functional theory data (PBE-GGA) for an optimized crystal structure of KRb2As.

Lattice parameters (Å, degrees): 8.0655 10.1863 11.6245 116.25 90.00 90.00
Last column: nearest neighbours and their distance in Å.
Atoms (fractional coordinates):
As (0.8558, 0.9698, 0.4400)  1 As 2.64
Rb (0.7496, 0.5914, 0.1847)  2 As 3.78, 2 K 3.89
As (0.1442, 0.0302, 0.5600)  1 As 2.64
Rb (0.2504, 0.4086, 0.8153)  2 As 3.78, 2 K 3.89
Rb (0.1835, 0.8614, 0.2249)  2 As 3.47-3.51
K (0.0000, 0.6970, 0.4998)  4 As 3.36-3.56
Rb (0.8165, 0.1386, 0.7751)  2 As 3.47-3.51
K (0.5000, 0.1970, 0.4998)  4 As 3.36-3.56
Rb (0.6835, 0.6386, 0.7751)  2 As 3.47-3.51
As (0.6442, 0.4698, 0.4400)  1 As 2.64
Rb (0.2496, 0.9086, 0.8153)  2 As 3.78, 2 K 3.89
K (0.0000, 0.3030, 0.5002)  4 As 3.36-3.56
Rb (0.7504, 0.0914, 0.1847)  2 As 3.78, 2 K 3.89
As (0.3558, 0.5302, 0.5600)  1 As 2.64
K (0.5000, 0.8030, 0.5002)  4 As 3.36-3.56
Rb (0.3165, 0.3614, 0.2249)  2 As 3.47-3.51

Computed properties:
The calculation puts the calculated formation energy at -220 meV per atom.

Density functional theory data (PBE-GGA) for an optimized crystal structure of DyURu2.

Lattice parameters (Å, degrees): 3.3924 3.3924 6.8383 90.00 90.00 90.00
Last column: nearest neighbours and their distance in Å.
Atoms (fractional coordinates):
Dy (0.5000, 0.5000, 0.5000)  8 Ru 3.08, 4 Dy 3.39, 2 U 3.42
Ru (0.0000, 0.0000, 0.7815)  4 U 2.83, 1 Ru 2.99, 4 Dy 3.08
Ru (0.0000, 0.0000, 0.2185)  4 U 2.83, 1 Ru 2.99, 4 Dy 3.08
U (0.5000, 0.5000, 0.0000)  8 Ru 2.83

Computed properties:
The calculation puts the calculated formation energy at -342 meV per atom.

Density functional theory data (PBE-GGA) for an optimized crystal structure of CaNdIrRh.

Lattice parameters (Å, degrees): 4.9224 4.9224 4.9224 60.00 60.00 60.00
Last column: nearest neighbours and their distance in Å.
Atoms (fractional coordinates):
Rh (0.5000, 0.5000, 0.5000)  4 Ca 3.01, 4 Nd 3.01
Ca (0.2500, 0.2500, 0.2500)  4 Ir 3.01, 4 Rh 3.01
Ir (0.0000, 0.0000, 0.0000)  4 Nd 3.01, 4 Ca 3.01
Nd (0.7500, 0.7500, 0.7500)  4 Ir 3.01, 4 Rh 3.01

Computed properties:
The calculation puts the calculated formation energy at -438 meV per atom.